Material: Fe3PtO7
Method: DFT, PBE+U
State: relaxed

Mass density = 6.7 g/cm³
N(E_F) = 8.3 states/eV/cell
E = -0.2291 hartree per atom

Geometry as POSCAR:
```
Fe3PtO7
1.0
-4.582 0.517 -3.871
-2.148 -1.613 5.389
-0.689 6.581 1.695
Fe Pt O
6 2 14
Direct
0.524 0.001 0.250
0.476 0.999 0.750
0.999 0.476 0.250
0.500 0.500 0.500
0.001 0.524 0.750
0.500 0.500 0.000
0.000 0.000 0.500
0.000 0.000 0.000
0.637 0.363 0.750
0.092 0.346 0.530
0.654 0.908 0.970
0.363 0.637 0.750
0.346 0.092 0.470
0.908 0.654 0.470
0.092 0.346 0.970
0.637 0.363 0.250
0.346 0.092 0.030
0.654 0.908 0.530
0.363 0.637 0.250
0.100 0.900 0.750
0.908 0.654 0.030
0.900 0.100 0.250
```